This record from Alexandria via LeMat-Bulk describes SmGdPa after structural relaxation. The functional is GGA-PBE.

The structure in CIF format:
```
data_SmGdPa
_space_group_name_H-M_alt 'I 4 m m'
_space_group_IT_number 107
_space_group_name_Hall 'I 4 -2'
_cell_length_a 3.408
_cell_length_b 3.408
_cell_length_c 15.439
_cell_angle_alpha 90.00
_cell_angle_beta 90.00
_cell_angle_gamma 90.00
loop_
_atom_site_label
_atom_site_type_symbol
_atom_site_fract_x
_atom_site_fract_y
_atom_site_fract_z
Sm1 Sm 0.000 0.000 0.000
Gd1 Gd 0.000 0.000 0.309
Pa1 Pa 0.000 0.000 0.656
```

Computed properties:
The magnetic moment comes out at 2.30 μB per atom. For the density of states at the Fermi level, the calculation gives 1.585 states/eV/atom. The value obtained for the total DFT energy (no corrections) is -9.272 eV/atom. Its relative energy among the computed polymorphs is 15 meV per atom. The energy of formation from the pure elements comes out at 0.5 eV per formula unit.